Here is crystalline TmTaC at its relaxed geometry from Alexandria via LeMat-Bulk. Energies are from PBE-GGA.

Lattice parameters (Å, degrees): 5.4467 3.2695 3.2695 120.00 90.00 90.00
With the nearest neighbours (Å) after each atom.
Fractional coordinates of all 3 atoms:
Ta: 0.1077 0.0000 0.0000  3 C 2.17
C: 0.3045 0.3333 0.6667  3 Ta 2.17
Tm: 0.5878 0.6667 0.3333  3 C 2.44

Results
crystal system	trigonal
volume	50.4	Å³ per cell
magnetic moment	0.2	μB per formula unit
polymorph energy (0 for the lowest one)	0	meV per atom


Here is crystalline Tm4TaC4 at its relaxed geometry from Alexandria via LeMat-Bulk. Energies are from PBE-GGA.

Lattice parameters (Å, degrees): 3.4100 5.9639 7.6966 75.74 77.20 73.39
With the nearest neighbours (Å) after each atom.
Fractional coordinates of all 9 atoms:
C: 0.0890 0.7287 0.0933  2 Ta 2.32, 4 Tm 2.37-2.51
Tm: 0.2961 0.5938 0.8140  5 C 2.37-2.51
Tm: 0.8921 0.8289 0.3869  4 C 2.33-2.57
Tm: 0.7039 0.4062 0.1860  5 C 2.37-2.51
C: 0.3077 0.0993 0.2852  1 Ta 2.32, 5 Tm 2.33-2.57
Ta: 0.5000 0.0000 0.0000  6 C 2.32
C: 0.9110 0.2713 0.9067  2 Ta 2.32, 4 Tm 2.37-2.51
C: 0.6923 0.9007 0.7148  1 Ta 2.32, 5 Tm 2.33-2.57
Tm: 0.1079 0.1711 0.6131  4 C 2.33-2.57

Results
crystal system	monoclinic
volume	143.4	Å³ per cell
magnetic moment	0.8	μB per formula unit


Here is crystalline TmTaC2 at its relaxed geometry from Alexandria via LeMat-Bulk. Energies are from PBE-GGA.

Lattice parameters (Å, degrees): 3.2809 3.2809 5.8322 73.66 73.66 60.00
With the nearest neighbours (Å) after each atom.
Fractional coordinates of all 4 atoms:
Tm: 0.5000 0.5000 0.5000  6 C 2.44
C: 0.7407 0.7407 0.7780  3 Ta 2.26, 3 Tm 2.44
C: 0.2593 0.2593 0.2220  3 Ta 2.26, 3 Tm 2.44
Ta: 0.0000 0.0000 0.0000  6 C 2.26

Results
crystal system	trigonal
volume	51.4	Å³ per cell
magnetic moment	0.0	μB per formula unit
polymorph energy (0 for the lowest one)	0	meV per atom


It is found that the calculated formation energy values, taken in the order of the records, are -0.9, -3.5, -2.3 eV per formula unit.